A plane-wave DFT calculation with PBE-GGA was carried out for GdMg after structural relaxation.

Cell lengths 8.8252, 7.2357, 5.4405 Å; angles 90.00, 90.00, 101.83 degrees
Fractional coordinates of all 12 atoms:
Mg: 0.9061 0.2106 0.5000
Mg: 0.8939 0.7411 0.5000
Mg: 0.9828 0.5116 0.0000
Mg: 0.9950 0.9811 0.0000
Mg: 0.6635 0.6682 0.0000
Mg: 0.2254 0.0540 0.5000
Gd: 0.3156 0.3272 0.0000
Gd: 0.5624 0.8940 0.5000
Gd: 0.6800 0.1652 0.0000
Gd: 0.5732 0.3950 0.5000
Gd: 0.3265 0.8282 0.0000
Gd: 0.2088 0.5571 0.5000

## Properties
Crystal system: monoclinic
Calculated total energy, eV/cell: -37.06